Entry 1:
The following is a PBE calculation of crystalline Zn3P at its relaxed geometry, from Alexandria via LeMat-Bulk.

Summary:
N(E_F) = 1.476 states/eV/f.u.
E_form = 0.17 eV/atom
Total DFT energy (no corrections) = -2.1330 eV/atom

Unit cell a=5.6431 b=7.7203 c=2.7997 alpha=90.00 beta=90.00 gamma=90.00
With the nearest neighbours (Å) after each atom.
Fractional positions:
Zn: 0.0000 0.0000 0.0000  10 Zn 2.77-2.80, 2 P 2.82
Zn: 0.2500 0.2500 0.5000  8 Zn 2.77-2.82, 4 P 2.77
Zn: 0.2500 0.7500 0.5000  8 Zn 2.77-2.82, 4 P 2.77
Zn: 0.5000 0.5000 0.0000  10 Zn 2.77-2.80, 2 P 2.82
Zn: 0.7500 0.2500 0.5000  4 P 2.77, 8 Zn 2.77-2.82
Zn: 0.7500 0.7500 0.5000  8 Zn 2.77-2.82, 4 P 2.77
P: 0.0000 0.5000 0.0000  10 Zn 2.77-2.82, 2 P 2.80
P: 0.5000 0.0000 0.0000  10 Zn 2.77-2.82, 2 P 2.80

=====

Entry 2:
The following is a PBE calculation of crystalline Cs2RbPt2 at its relaxed geometry, from Alexandria via LeMat-Bulk.

Summary:
N(E_F) = 2.785 states/eV/f.u.
E_form = 0.12 eV/atom
Total DFT energy (no corrections) = -2.8276 eV/atom

Unit cell a=8.6651 b=8.6651 c=5.2753 alpha=90.00 beta=90.00 gamma=90.00
With the nearest neighbours (Å) after each atom.
Fractional positions:
Cs: 0.1634 0.3366 0.0000  6 Pt 3.55-3.87
Cs: 0.3366 0.8366 0.0000  6 Pt 3.55-3.87
Cs: 0.6634 0.1634 0.0000  6 Pt 3.55-3.87
Cs: 0.8366 0.6634 0.0000  6 Pt 3.55-3.87
Rb: 0.0000 0.0000 0.5000  4 Pt 3.54
Rb: 0.5000 0.5000 0.5000  4 Pt 3.54
Pt: 0.1054 0.6054 0.5000  1 Pt 2.58
Pt: 0.3946 0.1054 0.5000  1 Pt 2.58
Pt: 0.6054 0.8946 0.5000  1 Pt 2.58
Pt: 0.8946 0.3946 0.5000  1 Pt 2.58

=====

Entry 3:
The following is a PBE calculation of crystalline Ir2W at its relaxed geometry, from Alexandria via LeMat-Bulk.

Summary:
N(E_F) = 2.838 states/eV/f.u.
E_form = -0.06 eV/atom
Total DFT energy (no corrections) = -10.2882 eV/atom

Unit cell a=2.7941 b=2.7941 c=24.0626 alpha=90.00 beta=90.00 gamma=90.00
With the nearest neighbours (Å) after each atom.
Fractional positions:
Ir: 0.0000 0.2500 0.2979  6 Ir 2.69-2.79, 4 W 2.71
Ir: 0.0000 0.2500 0.4521  6 Ir 2.69-2.79, 4 W 2.71
Ir: 0.0000 0.7500 0.5479  6 Ir 2.69-2.79, 4 W 2.71
Ir: 0.0000 0.7500 0.7021  6 Ir 2.69-2.79, 4 W 2.71
Ir: 0.5000 0.2500 0.0479  6 Ir 2.69-2.79, 4 W 2.71
Ir: 0.5000 0.2500 0.2021  6 Ir 2.69-2.79, 4 W 2.71
Ir: 0.5000 0.7500 0.7979  6 Ir 2.69-2.79, 4 W 2.71
Ir: 0.5000 0.7500 0.9521  6 Ir 2.69-2.79, 4 W 2.71
W: 0.0000 0.2500 0.8750  8 Ir 2.71, 4 W 2.79
W: 0.0000 0.7500 0.1250  8 Ir 2.71, 4 W 2.79
W: 0.5000 0.2500 0.6250  8 Ir 2.71, 4 W 2.79
W: 0.5000 0.7500 0.3750  8 Ir 2.71, 4 W 2.79

=====

Entry 4:
The following is a PBE calculation of crystalline Rb3La2PuTe6 at its relaxed geometry, from Alexandria via LeMat-Bulk.

Summary:
E_form (uncorrected) = -1.348 eV per atom
N(E_F) = 14.829 states/eV/f.u.
Total DFT energy (no corrections) = -5.1767 eV/atom

Unit cell a=8.1698 b=8.1698 c=8.9341 alpha=98.76 beta=98.76 gamma=120.01
With the nearest neighbours (Å) after each atom.
Fractional positions:
Rb: 0.0000 0.0000 0.0000  6 Te 3.69-3.75
Rb: 0.3317 0.6683 0.0000  6 Te 3.69-3.74
Rb: 0.6683 0.3317 0.0000  6 Te 3.69-3.74
La: 0.1664 0.8336 0.5000  6 Te 3.25
La: 0.8336 0.1664 0.5000  6 Te 3.25
Pu: 0.5000 0.5000 0.5000  6 Te 3.18
Te: 0.1052 0.4322 0.2965  1 Pu 3.18, 2 La 3.25
Te: 0.2413 0.2413 0.7042  1 Pu 3.18, 2 La 3.25
Te: 0.4322 0.1052 0.2965  1 Pu 3.18, 2 La 3.25
Te: 0.5678 0.8948 0.7035  1 Pu 3.18, 2 La 3.25
Te: 0.7587 0.7587 0.2958  1 Pu 3.18, 2 La 3.25
Te: 0.8948 0.5678 0.7035  1 Pu 3.18, 2 La 3.25

=====

Entry 5:
The following is a PBE calculation of crystalline MgScBe2Si at its relaxed geometry, from Alexandria via LeMat-Bulk.

Summary:
E_form (uncorrected) = 0.570 eV per atom
N(E_F) = 2.901 states/eV/f.u.
Total DFT energy (no corrections) = -3.5900 eV/atom

Unit cell a=4.2387 b=4.2387 c=4.8772 alpha=90.00 beta=90.00 gamma=90.00
With the nearest neighbours (Å) after each atom.
Fractional positions:
Mg: 0.0000 0.0000 0.0000  2 Si 2.44
Sc: 0.5000 0.5000 0.0000  4 Mg 3.00, 8 Be 3.23
Be: 0.0000 0.5000 0.5000  2 Si 2.12
Be: 0.5000 0.0000 0.5000  2 Si 2.12
Si: 0.0000 0.0000 0.5000  4 Be 2.12

=====

Entry 6:
The following is a PBE calculation of crystalline La5Ag2Rh at its relaxed geometry, from Alexandria via LeMat-Bulk.

Summary:
N(E_F) = 9.387 states/eV/f.u.
E_form = -0.34 eV/atom
Total DFT energy (no corrections) = -5.0492 eV/atom

Unit cell a=8.0056 b=12.0460 c=4.9965 alpha=90.00 beta=90.00 gamma=90.00
With the nearest neighbours (Å) after each atom.
Fractional positions:
La: 0.0000 0.0000 0.0000  4 Ag 3.25
La: 0.1450 0.2976 0.0000  1 Rh 2.70
La: 0.1868 0.5766 0.5000  2 Rh 3.05, 2 Ag 3.24-3.33
La: 0.3132 0.0766 0.5000  2 Rh 3.05, 2 Ag 3.24-3.33
La: 0.3550 0.7976 0.0000  1 Rh 2.70
La: 0.5000 0.5000 0.0000  4 Ag 3.25
La: 0.6450 0.2024 0.0000  1 Rh 2.70
La: 0.6868 0.9234 0.5000  2 Rh 3.05, 2 Ag 3.24-3.33
La: 0.8132 0.4234 0.5000  2 Rh 3.05, 2 Ag 3.24-3.33
La: 0.8550 0.7024 0.0000  1 Rh 2.70
Ag: 0.0817 0.8366 0.5000  9 La 3.24-3.49
Ag: 0.4183 0.3366 0.5000  9 La 3.24-3.49
Ag: 0.5817 0.6634 0.5000  9 La 3.24-3.49
Ag: 0.9183 0.1634 0.5000  9 La 3.24-3.49
Rh: 0.0000 0.5000 0.0000  2 La 2.70
Rh: 0.5000 0.0000 0.0000  2 La 2.70

=====

Please write out number 6 again, unchanged.
The following is a PBE calculation of crystalline La5Ag2Rh at its relaxed geometry, from Alexandria via LeMat-Bulk.

Summary:
N(E_F) = 9.387 states/eV/f.u.
E_form = -0.34 eV/atom
Total DFT energy (no corrections) = -5.0492 eV/atom

Unit cell a=8.0056 b=12.0460 c=4.9965 alpha=90.00 beta=90.00 gamma=90.00
With the nearest neighbours (Å) after each atom.
Fractional positions:
La: 0.0000 0.0000 0.0000  4 Ag 3.25
La: 0.1450 0.2976 0.0000  1 Rh 2.70
La: 0.1868 0.5766 0.5000  2 Rh 3.05, 2 Ag 3.24-3.33
La: 0.3132 0.0766 0.5000  2 Rh 3.05, 2 Ag 3.24-3.33
La: 0.3550 0.7976 0.0000  1 Rh 2.70
La: 0.5000 0.5000 0.0000  4 Ag 3.25
La: 0.6450 0.2024 0.0000  1 Rh 2.70
La: 0.6868 0.9234 0.5000  2 Rh 3.05, 2 Ag 3.24-3.33
La: 0.8132 0.4234 0.5000  2 Rh 3.05, 2 Ag 3.24-3.33
La: 0.8550 0.7024 0.0000  1 Rh 2.70
Ag: 0.0817 0.8366 0.5000  9 La 3.24-3.49
Ag: 0.4183 0.3366 0.5000  9 La 3.24-3.49
Ag: 0.5817 0.6634 0.5000  9 La 3.24-3.49
Ag: 0.9183 0.1634 0.5000  9 La 3.24-3.49
Rh: 0.0000 0.5000 0.0000  2 La 2.70
Rh: 0.5000 0.0000 0.0000  2 La 2.70

=====

Q: Among the records above, which one has the highest total DFT energy (no corrections)?
A: Zn3P

=====

Q: N(E_F) of number 2 (Cs2RbPt2)?
A: 2.785 states/eV/f.u.